# 1
A relaxed structure of Tb4Nd4Dy, computed with PBE.

Structure (CIF):
```
data_Tb4Nd4Dy
_chemical_formula_sum 'Tb4 Nd4 Dy1'
_symmetry_space_group_name_H-M 'P 1'
_symmetry_Int_Tables_number 1
_cell_length_a 8.080
_cell_length_b 8.080
_cell_length_c 8.080
_cell_angle_alpha 95.71
_cell_angle_beta 95.71
_cell_angle_gamma 143.23
loop_
_symmetry_equiv_pos_as_xyz
'x,y,z'
loop_
_atom_site_label
_atom_site_fract_x
_atom_site_fract_y
_atom_site_fract_z
Tb1 0.000 0.335 0.335
Tb2 0.000 0.665 0.665
Tb3 0.335 0.000 0.335
Tb4 0.665 0.000 0.665
Nd1 0.333 0.333 0.667
Nd2 0.333 0.667 0.000
Nd3 0.667 0.333 0.000
Nd4 0.667 0.667 0.333
Dy1 0.000 0.000 0.000
```

# 2
A relaxed structure of Tb5Nd2Dy4, computed with PBE.

Structure (CIF):
```
data_Tb5Nd2Dy4
_chemical_formula_sum 'Tb5 Nd2 Dy4'
_symmetry_space_group_name_H-M 'P 1'
_symmetry_Int_Tables_number 1
_cell_length_a 12.076
_cell_length_b 12.076
_cell_length_c 8.757
_cell_angle_alpha 96.66
_cell_angle_beta 96.66
_cell_angle_gamma 16.51
loop_
_symmetry_equiv_pos_as_xyz
'x,y,z'
loop_
_atom_site_label
_atom_site_fract_x
_atom_site_fract_y
_atom_site_fract_z
Tb1 0.000 0.000 0.000
Tb2 0.267 0.267 0.175
Tb3 0.359 0.359 0.878
Tb4 0.641 0.641 0.122
Tb5 0.733 0.733 0.825
Nd1 0.408 0.408 0.260
Nd2 0.592 0.592 0.740
Dy1 0.178 0.178 0.472
Dy2 0.454 0.454 0.639
Dy3 0.546 0.546 0.361
Dy4 0.822 0.822 0.528
```

Results
As for the excess energy over the best structure of this formula in the dataset: 0.0 meV/atom.

# 3
A relaxed structure of Tb2Nd7Dy, computed with PBE.

Structure (CIF):
```
data_Tb2Nd7Dy
_chemical_formula_sum 'Tb2 Nd7 Dy1'
_symmetry_space_group_name_H-M 'P 1'
_symmetry_Int_Tables_number 1
_cell_length_a 10.407
_cell_length_b 10.407
_cell_length_c 3.529
_cell_angle_alpha 90.00
_cell_angle_beta 90.00
_cell_angle_gamma 108.78
loop_
_symmetry_equiv_pos_as_xyz
'x,y,z'
loop_
_atom_site_label
_atom_site_fract_x
_atom_site_fract_y
_atom_site_fract_z
Tb1 0.167 0.833 0.000
Tb2 0.833 0.167 0.000
Nd1 0.126 0.383 0.000
Nd2 0.322 0.678 0.500
Nd3 0.383 0.126 0.000
Nd4 0.500 0.500 0.000
Nd5 0.617 0.874 0.000
Nd6 0.678 0.322 0.500
Nd7 0.874 0.617 0.000
Dy1 0.000 0.000 0.500
```

Results
As for the excess energy over the best structure of this formula in the dataset: 0.0 meV/atom.

# 4
A relaxed structure of Tb2NdDy3Te6, computed with PBE.

Structure (CIF):
```
data_Tb2NdDy3Te6
_chemical_formula_sum 'Tb2 Nd1 Dy3 Te6'
_symmetry_space_group_name_H-M 'P 1'
_symmetry_Int_Tables_number 1
_cell_length_a 9.804
_cell_length_b 9.804
_cell_length_c 8.825
_cell_angle_alpha 103.05
_cell_angle_beta 103.05
_cell_angle_gamma 25.67
loop_
_symmetry_equiv_pos_as_xyz
'x,y,z'
loop_
_atom_site_label
_atom_site_fract_x
_atom_site_fract_y
_atom_site_fract_z
Tb1 0.165 0.165 0.330
Tb2 0.835 0.835 0.670
Nd1 0.500 0.500 0.000
Dy1 0.163 0.163 0.833
Dy2 0.500 0.500 0.500
Dy3 0.837 0.837 0.167
Te1 0.001 0.001 0.259
Te2 0.329 0.329 0.916
Te3 0.333 0.333 0.416
Te4 0.667 0.667 0.584
Te5 0.671 0.671 0.084
Te6 0.999 0.999 0.741
```

Results
The uncorrected formation energy is -1314 meV per atom.

# 5
A relaxed structure of TbNd4Dy3Te8, computed with PBE.

Structure (CIF):
```
data_TbNd4Dy3Te8
_chemical_formula_sum 'Tb1 Nd4 Dy3 Te8'
_symmetry_space_group_name_H-M 'P 1'
_symmetry_Int_Tables_number 1
_cell_length_a 8.945
_cell_length_b 8.945
_cell_length_c 8.945
_cell_angle_alpha 58.74
_cell_angle_beta 58.74
_cell_angle_gamma 58.74
loop_
_symmetry_equiv_pos_as_xyz
'x,y,z'
loop_
_atom_site_label
_atom_site_fract_x
_atom_site_fract_y
_atom_site_fract_z
Tb1 0.000 0.000 0.000
Nd1 0.000 0.000 0.500
Nd2 0.000 0.500 0.000
Nd3 0.500 0.000 0.000
Nd4 0.500 0.500 0.500
Dy1 0.000 0.500 0.500
Dy2 0.500 0.000 0.500
Dy3 0.500 0.500 0.000
Te1 0.246 0.246 0.745
Te2 0.246 0.745 0.246
Te3 0.254 0.254 0.254
Te4 0.255 0.754 0.754
Te5 0.745 0.246 0.246
Te6 0.746 0.746 0.746
Te7 0.754 0.255 0.754
Te8 0.754 0.754 0.255
```

Results
The uncorrected formation energy is -1355 meV per atom.

# 6
A relaxed structure of TbNd3Dy3Te8, computed with PBE.

Structure (CIF):
```
data_TbNd3Dy3Te8
_chemical_formula_sum 'Tb1 Nd3 Dy3 Te8'
_symmetry_space_group_name_H-M 'P 1'
_symmetry_Int_Tables_number 1
_cell_length_a 8.836
_cell_length_b 8.836
_cell_length_c 8.836
_cell_angle_alpha 59.70
_cell_angle_beta 59.70
_cell_angle_gamma 59.70
loop_
_symmetry_equiv_pos_as_xyz
'x,y,z'
loop_
_atom_site_label
_atom_site_fract_x
_atom_site_fract_y
_atom_site_fract_z
Tb1 0.000 0.000 0.000
Nd1 0.000 0.000 0.500
Nd2 0.000 0.500 0.000
Nd3 0.500 0.000 0.000
Dy1 0.000 0.500 0.500
Dy2 0.500 0.000 0.500
Dy3 0.500 0.500 0.000
Te1 0.253 0.253 0.739
Te2 0.253 0.739 0.253
Te3 0.254 0.254 0.254
Te4 0.261 0.747 0.747
Te5 0.739 0.253 0.253
Te6 0.746 0.746 0.746
Te7 0.747 0.261 0.747
Te8 0.747 0.747 0.261
```

Results
The uncorrected formation energy is -1410 meV per atom.

# 7
A relaxed structure of TbNd2DyTe5, computed with PBE.

Structure (CIF):
```
data_TbNd2DyTe5
_chemical_formula_sum 'Tb1 Nd2 Dy1 Te5'
_symmetry_space_group_name_H-M 'P 1'
_symmetry_Int_Tables_number 1
_cell_length_a 5.563
_cell_length_b 5.563
_cell_length_c 11.589
_cell_angle_alpha 90.00
_cell_angle_beta 90.00
_cell_angle_gamma 90.00
loop_
_symmetry_equiv_pos_as_xyz
'x,y,z'
loop_
_atom_site_label
_atom_site_fract_x
_atom_site_fract_y
_atom_site_fract_z
Tb1 0.000 0.000 0.000
Nd1 0.500 0.500 0.161
Nd2 0.500 0.500 0.839
Dy1 0.000 0.000 0.500
Te1 0.000 0.000 0.255
Te2 0.000 0.000 0.745
Te3 0.000 0.500 0.000
Te4 0.500 0.000 0.000
Te5 0.500 0.500 0.500
```

Results
The uncorrected formation energy is -786 meV per atom.

# 8
A relaxed structure of Tb3Nd4DyTe8, computed with PBE.

Structure (CIF):
```
data_Tb3Nd4DyTe8
_chemical_formula_sum 'Tb3 Nd4 Dy1 Te8'
_symmetry_space_group_name_H-M 'P 1'
_symmetry_Int_Tables_number 1
_cell_length_a 8.942
_cell_length_b 8.942
_cell_length_c 8.942
_cell_angle_alpha 58.92
_cell_angle_beta 58.92
_cell_angle_gamma 58.92
loop_
_symmetry_equiv_pos_as_xyz
'x,y,z'
loop_
_atom_site_label
_atom_site_fract_x
_atom_site_fract_y
_atom_site_fract_z
Tb1 0.000 0.500 0.500
Tb2 0.500 0.000 0.500
Tb3 0.500 0.500 0.000
Nd1 0.000 0.000 0.500
Nd2 0.000 0.500 0.000
Nd3 0.500 0.000 0.000
Nd4 0.500 0.500 0.500
Dy1 0.000 0.000 0.000
Te1 0.246 0.246 0.747
Te2 0.246 0.747 0.246
Te3 0.253 0.754 0.754
Te4 0.254 0.254 0.254
Te5 0.746 0.746 0.746
Te6 0.747 0.246 0.246
Te7 0.754 0.253 0.754
Te8 0.754 0.754 0.253
```

Results
The uncorrected formation energy is -1362 meV per atom.

# 9
A relaxed structure of TbNdDyTh, computed with PBE.

Structure (CIF):
```
data_TbNdDyTh
_chemical_formula_sum 'Tb1 Nd1 Dy1 Th1'
_symmetry_space_group_name_H-M 'P 1'
_symmetry_Int_Tables_number 1
_cell_length_a 5.708
_cell_length_b 5.708
_cell_length_c 5.708
_cell_angle_alpha 60.00
_cell_angle_beta 60.00
_cell_angle_gamma 60.00
loop_
_symmetry_equiv_pos_as_xyz
'x,y,z'
loop_
_atom_site_label
_atom_site_fract_x
_atom_site_fract_y
_atom_site_fract_z
Tb1 0.000 0.000 0.000
Nd1 0.750 0.750 0.750
Dy1 0.500 0.500 0.500
Th1 0.250 0.250 0.250
```

Results
As for the excess energy over the best structure of this formula in the dataset: 136.9 meV/atom.

# 10
A relaxed structure of Tb5Nd2DyTh, computed with PBE.

Structure (CIF):
```
data_Tb5Nd2DyTh
_chemical_formula_sum 'Tb10 Nd4 Dy2 Th2'
_symmetry_space_group_name_H-M 'P 1'
_symmetry_Int_Tables_number 1
_cell_length_a 11.163
_cell_length_b 11.163
_cell_length_c 9.854
_cell_angle_alpha 90.00
_cell_angle_beta 90.00
_cell_angle_gamma 150.16
loop_
_symmetry_equiv_pos_as_xyz
'x,y,z'
loop_
_atom_site_label
_atom_site_fract_x
_atom_site_fract_y
_atom_site_fract_z
Tb1 0.015 0.985 0.500
Tb2 0.271 0.729 0.812
Tb3 0.305 0.695 0.200
Tb4 0.397 0.603 0.526
Tb5 0.470 0.530 0.226
Tb6 0.530 0.470 0.726
Tb7 0.603 0.397 0.026
Tb8 0.695 0.305 0.700
Tb9 0.729 0.271 0.312
Tb10 0.985 0.015 0.000
Nd1 0.115 0.885 0.812
Nd2 0.129 0.871 0.196
Nd3 0.871 0.129 0.696
Nd4 0.885 0.115 0.312
Dy1 0.191 0.809 0.501
Dy2 0.809 0.191 0.001
Th1 0.405 0.595 0.911
Th2 0.595 0.405 0.411
```

# 11
A relaxed structure of TbNdDyTh2, computed with PBE.

Structure (CIF):
```
data_TbNdDyTh2
_chemical_formula_sum 'Tb2 Nd2 Dy2 Th4'
_symmetry_space_group_name_H-M 'P 1'
_symmetry_Int_Tables_number 1
_cell_length_a 8.564
_cell_length_b 8.564
_cell_length_c 6.689
_cell_angle_alpha 90.00
_cell_angle_beta 90.00
_cell_angle_gamma 134.07
loop_
_symmetry_equiv_pos_as_xyz
'x,y,z'
loop_
_atom_site_label
_atom_site_fract_x
_atom_site_fract_y
_atom_site_fract_z
Tb1 0.225 0.775 0.750
Tb2 0.775 0.225 0.250
Nd1 0.348 0.652 0.250
Nd2 0.652 0.348 0.750
Dy1 0.152 0.848 0.250
Dy2 0.848 0.152 0.750
Th1 0.245 0.245 0.000
Th2 0.245 0.245 0.500
Th3 0.755 0.755 0.000
Th4 0.755 0.755 0.500
```

# 12
A relaxed structure of Tb4Nd2DyTh, computed with PBE.

Structure (CIF):
```
data_Tb4Nd2DyTh
_chemical_formula_sum 'Tb4 Nd2 Dy1 Th1'
_symmetry_space_group_name_H-M 'P 1'
_symmetry_Int_Tables_number 1
_cell_length_a 5.957
_cell_length_b 5.957
_cell_length_c 7.399
_cell_angle_alpha 90.00
_cell_angle_beta 90.00
_cell_angle_gamma 90.00
loop_
_symmetry_equiv_pos_as_xyz
'x,y,z'
loop_
_atom_site_label
_atom_site_fract_x
_atom_site_fract_y
_atom_site_fract_z
Tb1 0.000 0.500 0.249
Tb2 0.000 0.500 0.751
Tb3 0.500 0.000 0.249
Tb4 0.500 0.000 0.751
Nd1 0.000 0.000 0.000
Nd2 0.500 0.500 0.500
Dy1 0.000 0.000 0.500
Th1 0.500 0.500 0.000
```

Number 1: total energy -0.3434 Ry per atom, total moment 0.0 μB per formula unit. Number 2: total energy -0.3305 Ry per atom, total moment 0.0 μB per formula unit. Number 3: total energy -0.3195 Ry per atom, total moment 0.0 μB per formula unit. Number 4: total energy -0.3825 Ry per atom, total moment 0.0 μB per formula unit. Number 5: total energy -0.3874 Ry per atom, total moment 0.0 μB per formula unit. Number 6: total energy -0.3872 Ry per atom, total moment 0.0 μB per formula unit. Number 7: total energy -0.3393 Ry per atom, total moment 0.6 μB per formula unit. Number 8: total energy -0.3881 Ry per atom, total moment 0.0 μB per formula unit. Number 9: total energy -0.3826 Ry per atom, total moment 0.0 μB per formula unit. Number 10: total energy -0.3534 Ry per atom, total moment 0.0 μB per formula unit. Number 11: total energy -0.3938 Ry per atom, total moment 0.0 μB per formula unit. Number 12: total energy -0.3590 Ry per atom, total moment 0.0 μB per formula unit.